Density functional theory data (PBE) for Ba2MoRu after structural relaxation.

Cell: 3.5733 3.5733 29.7978 Å, 90.00 90.00 120.00°
Space group R-3m (No. 166, hexagonal axes)
Symmetry-distinct sites (fractional):
Ba1 0.0000 0.0000 0.2443 (multiplicity 6)
Mo1 0.0000 0.0000 0.0000 (multiplicity 3)
Ru1 0.0000 0.0000 0.5000 (multiplicity 3)

## Properties
* crystal system: trigonal
* ΔH_f (0 K): 1.3979 eV per atom
* relative energy among the computed polymorphs: 868 meV per atom
* V: 27.46 Å³ per atom
* size of the total moment: 3.4 μB per formula unit